## V2ZnRe (PBE)

Data for a geometry-optimized V2ZnRe structure.

Computed properties:
Energy of formation from the pure elements ... 0.141 eV per atom
SG ... No. 166
Total magnetic moment ... 0.002 μB per atom
Crystal system ... trigonal

The structure in POSCAR format:
```
V2ZnRe
1.0
1.433 0.828 8.278
-1.433 0.828 8.278
0.000 -1.655 8.278
V Zn Re
2 1 1
Direct
0.246 0.246 0.246 V
0.754 0.754 0.754 V
0.000 0.000 0.000 Zn
0.500 0.500 0.500 Re
```